{"formula": "Sr3Bi4Pd8", "functional": "GGA-PBE", "state": "relaxed", "lattice": [[0.000, 6.964, 6.964], [6.964, 0.000, 6.964], [6.964, 6.964, 0.000]], "species": ["Sr", "Sr", "Sr", "Sr", "Sr", "Sr", "Bi", "Bi", "Bi", "Bi", "Bi", "Bi", "Bi", "Bi", "Pd", "Pd", "Pd", "Pd", "Pd", "Pd", "Pd", "Pd", "Pd", "Pd", "Pd", "Pd", "Pd", "Pd", "Pd", "Pd"], "frac_coords": [[0.230, 0.230, 0.770], [0.230, 0.770, 0.230], [0.230, 0.770, 0.770], [0.770, 0.230, 0.230], [0.770, 0.230, 0.770], [0.770, 0.770, 0.230], [0.000, 0.000, 0.000], [0.000, 0.000, 0.500], [0.000, 0.500, 0.000], [0.000, 0.500, 0.500], [0.500, 0.000, 0.000], [0.500, 0.000, 0.500], [0.500, 0.500, 0.000], [0.500, 0.500, 0.500], [0.128, 0.624, 0.624], [0.174, 0.174, 0.174], [0.174, 0.174, 0.479], [0.174, 0.479, 0.174], [0.376, 0.376, 0.376], [0.376, 0.376, 0.872], [0.376, 0.872, 0.376], [0.479, 0.174, 0.174], [0.521, 0.826, 0.826], [0.624, 0.128, 0.624], [0.624, 0.624, 0.128], [0.624, 0.624, 0.624], [0.826, 0.521, 0.826], [0.826, 0.826, 0.521], [0.826, 0.826, 0.826], [0.872, 0.376, 0.376]], "ef_mev_per_atom": -502, "crystal_system": "cubic", "sg": "No. 225", "e_tot_ev_per_cell": -139.3}